Below is MnCo2ClF after structural relaxation, with properties calculated at the GGA+U level.

## Properties
The spin magnetization is 1.827 μB per atom. The value obtained for the uncorrected energy is -4.273 eV per atom.

abc: 4.022 4.022 5.500
angles: 90.00 90.00 90.00
Space group P4/mmm (No. 123)
Inequivalent atoms, fractional coordinates:
Mn: 0.000 0.000 0.000
Co: 0.000 0.500 0.500
Cl: 0.500 0.500 0.000
F: 0.500 0.500 0.500